Record 1
8
Lattice="2.525 1.458 8.329 -2.525 1.458 8.329 0.000 -2.915 8.329" Properties=species:S:1:pos:R:3 comment="Tm4TlZn3 (PBE, optimized geometry)" dos_ef_per_ev_cell=6.96 formation_energy_mev_per_atom=-330 dft_energy_ev_per_atom=-3.34 pbc="T T T"
Tm 0.000 0.000 3.004
Tm 0.000 0.000 9.268
Tm 0.000 0.000 15.720
Tm 0.000 0.000 21.983
Tl 0.000 0.000 12.494
Zn 0.000 0.000 0.000
Zn 0.000 0.000 6.307
Zn 0.000 0.000 18.680

***

Record 2
7
Lattice="1.767 -16.607 0.000 1.767 16.607 0.000 0.000 0.000 3.617" Properties=species:S:1:pos:R:3 comment="La2Tm2Tl3 (PBE, optimized geometry)" dos_ef_per_ev_cell=8.16 formation_energy_mev_per_atom=-238 dft_energy_ev_per_atom=-3.94 pbc="T T T"
La 1.767 14.233 0.000
La 1.767 -14.233 0.000
Tm 1.767 9.818 0.000
Tm 1.767 -9.818 0.000
Tl 1.767 4.742 1.808
Tl 1.767 0.000 1.808
Tl 1.767 -4.742 1.808

***

Record 3
9
Lattice="2.820 -6.025 0.000 2.820 6.025 0.000 0.000 0.000 4.435" Properties=species:S:1:pos:R:3 comment="Ti6MnAl2 (PBE, optimized geometry)" dos_ef_per_ev_cell=11.98 formation_energy_mev_per_atom=30 dft_energy_ev_per_atom=-7.08 pbc="T T T"
Ti 1.373 1.725 2.218
Ti 1.362 0.000 0.000
Ti 1.373 -1.725 2.218
Ti 4.267 1.725 2.218
Ti 4.278 0.000 0.000
Ti 4.267 -1.725 2.218
Mn 2.820 0.000 2.218
Al 2.820 3.103 0.000
Al 2.820 -3.103 0.000

***

Record 4
10
Lattice="7.298 0.000 0.000 0.000 7.298 0.000 0.000 0.000 2.859" Properties=species:S:1:pos:R:3 comment="TiNb2Fe2 (PBE, optimized geometry)" dos_ef_per_ev_cell=9.52 formation_energy_mev_per_atom=159 dft_energy_ev_per_atom=-8.83 pbc="T T T"
Ti 0.000 0.000 0.000
Ti 3.649 3.649 0.000
Nb 1.119 2.530 0.000
Nb 2.530 6.180 0.000
Nb 4.768 1.119 0.000
Nb 6.180 4.768 0.000
Fe 1.062 4.711 1.430
Fe 2.587 1.062 1.430
Fe 4.711 6.236 1.430
Fe 6.236 2.587 1.430

***

Record 5
11
Lattice="-1.781 4.694 7.119 1.781 -4.694 7.119 1.781 4.694 -7.119" Properties=species:S:1:pos:R:3 comment="Sn4Cl3F4 (PBE, optimized geometry)" dos_ef_per_ev_cell=1.08 e_form_raw_ev_per_atom=-1.51 dft_energy_ev_per_atom=-4.15 pbc="T T T"
Sn 0.000 0.000 2.934
Sn 1.781 2.523 0.000
Sn 0.000 2.172 7.119
Sn 0.000 0.000 11.304
Cl 0.000 0.000 0.000
Cl 1.781 0.000 5.308
Cl 0.000 4.694 1.811
F 1.781 1.520 -2.171
F 1.781 1.520 2.171
F 0.000 3.174 4.948
F 0.000 3.174 9.290

***

Record 6
5
Lattice="4.384 0.000 0.000 0.000 4.384 0.000 0.000 0.000 4.384" Properties=species:S:1:pos:R:3 comment="LiNb3Pd (PBE, optimized geometry)" dos_ef_per_ev_cell=8.18 formation_energy_mev_per_atom=963 dft_energy_ev_per_atom=-6.50 pbc="T T T"
Li 0.000 0.000 0.000
Nb 0.000 0.000 2.192
Nb 0.000 2.192 0.000
Nb 2.192 0.000 0.000
Pd 2.192 2.192 2.192

***

Record 7
4
Lattice="1.629 0.941 10.574 -1.629 0.941 10.574 0.000 -1.881 10.574" Properties=species:S:1:pos:R:3 comment="Ca2InW (PBE, optimized geometry)" dos_ef_per_ev_cell=2.39 formation_energy_mev_per_atom=566 dft_energy_ev_per_atom=-4.36 pbc="T T T"
Ca 0.000 0.000 7.788
Ca 0.000 0.000 23.933
In 0.000 0.000 0.000
W 0.000 0.000 15.860

***

Record 8
8
Lattice="6.783 -1.968 0.000 6.783 1.968 0.000 -0.552 0.000 9.151" Properties=species:S:1:pos:R:3 comment="NaCa2Ni (PBE, optimized geometry)" dos_ef_per_ev_cell=4.54 formation_energy_mev_per_atom=-66 dft_energy_ev_per_atom=-2.84 pbc="T T T"
Na 1.531 0.000 4.293
Na 11.483 0.000 4.859
Ca 3.241 0.000 7.749
Ca 6.210 0.000 1.703
Ca 6.804 0.000 7.449
Ca 9.773 0.000 1.402
Ni 1.153 0.000 0.292
Ni 11.862 0.000 8.859

***

Number 1: M_tot 0.0 μB per cell. Number 2: M_tot 0.0 μB per cell. Number 3: M_tot 0.0 μB per cell. Number 4: M_tot 2.5 μB per cell. Number 5: M_tot 0.0 μB per cell. Number 6: M_tot 0.0 μB per cell. Number 7: M_tot 0.0 μB per cell. Number 8: M_tot 0.0 μB per cell.